Entry from Alexandria: a relaxed structure of Ni4SbN (GGA-PBE).

Cell: 5.164 4.781 7.209 Å, 113.61 110.99 89.96°
Positions (direct):
N (0.500, 0.000, 0.500)
Ni (0.281, 0.633, 0.427)
Sb (0.781, 0.750, 0.999)
Ni (0.550, 0.152, 0.795)
Ni (0.719, 0.367, 0.573)
N (0.000, 0.500, 0.500)
Ni (0.244, 0.650, 0.796)
Ni (0.855, 0.868, 0.574)
Ni (0.145, 0.132, 0.426)
Sb (0.219, 0.250, 0.001)
Ni (0.450, 0.848, 0.205)
Ni (0.756, 0.350, 0.204)

Calculated values
Space group: P-1 (2)
Formation energy without anion corrections: 23 meV/atom
E_tot: -5.906 eV/atom
Size of the total moment: 0.00 μB/f.u.
Crystal system: triclinic